# Li4CoOsO6 PBE with a Hubbard U relaxed
data_Li4CoOsO6
_chemical_formula_sum 'Li8 Co2 Os2 O12'
_cell_length_a 4.999
_cell_length_b 8.657
_cell_length_c 5.022
_cell_angle_alpha 90.00
_cell_angle_beta 109.41
_cell_angle_gamma 90.00
_space_group_name_H-M_alt 'C 1 2 1'
_space_group_IT_number 5
_space_group_name_Hall 'C 2y'
loop_
_atom_site_label
_atom_site_type_symbol
_atom_site_fract_x
_atom_site_fract_y
_atom_site_fract_z
Li1 Li 0.000 0.000 0.000
Li2 Li 0.000 0.157 0.500
Li3 Li 0.000 0.320 0.000
Li4 Li 0.000 0.647 0.000
Co1 Co 0.000 0.489 0.500
Os1 Os 0.000 0.823 0.500
O1 O 0.229 0.654 0.733
O2 O 0.244 0.483 0.269
O3 O 0.249 0.333 0.732
# Crystal system ... monoclinic
# E ... -6.0186 eV per atom

---

# LiCoPO PBE with a Hubbard U relaxed
data_LiCoPO
_chemical_formula_sum 'Li2 Co2 P2 O2'
_cell_length_a 3.428
_cell_length_b 3.428
_cell_length_c 8.728
_cell_angle_alpha 90.00
_cell_angle_beta 90.00
_cell_angle_gamma 90.00
_space_group_name_H-M_alt 'P 4/n m m'
_space_group_IT_number 129
loop_
_space_group_symop_operation_xyz
'x,y,z'
'-x,-y,-z'
'-y+1/2,x,z'
'y+1/2,-x,-z'
'-x+1/2,-y+1/2,z'
'x+1/2,y+1/2,-z'
'y,-x+1/2,z'
'-y,x+1/2,-z'
'x+1/2,-y,-z'
'-x+1/2,y,z'
'-y,-x,-z'
'y,x,z'
'-x,y+1/2,-z'
'x,-y+1/2,z'
'y+1/2,x+1/2,-z'
'-y+1/2,-x+1/2,z'
loop_
_atom_site_label
_atom_site_type_symbol
_atom_site_fract_x
_atom_site_fract_y
_atom_site_fract_z
Li1 Li 0.250 0.750 0.000
Co1 Co 0.250 0.250 0.385
P1 P 0.250 0.250 0.792
O1 O 0.250 0.750 0.500
# Crystal system ... tetragonal
# Excess energy over the best structure of this formula in the dataset ... 537 meV/atom
# E ... -4.4483 eV per atom

---

# LiCoPO PBE with a Hubbard U relaxed
data_LiCoPO
_chemical_formula_sum 'Li2 Co2 P2 O2'
_cell_length_a 3.635
_cell_length_b 3.635
_cell_length_c 6.735
_cell_angle_alpha 90.00
_cell_angle_beta 90.00
_cell_angle_gamma 90.00
_space_group_name_H-M_alt 'P 4/n m m'
_space_group_IT_number 129
loop_
_space_group_symop_operation_xyz
'x,y,z'
'-x,-y,-z'
'-y+1/2,x,z'
'y+1/2,-x,-z'
'-x+1/2,-y+1/2,z'
'x+1/2,y+1/2,-z'
'y,-x+1/2,z'
'-y,x+1/2,-z'
'x+1/2,-y,-z'
'-x+1/2,y,z'
'-y,-x,-z'
'y,x,z'
'-x,y+1/2,-z'
'x,-y+1/2,z'
'y+1/2,x+1/2,-z'
'-y+1/2,-x+1/2,z'
loop_
_atom_site_label
_atom_site_type_symbol
_atom_site_fract_x
_atom_site_fract_y
_atom_site_fract_z
Li1 Li 0.250 0.250 0.084
Co1 Co 0.250 0.750 0.500
P1 P 0.250 0.250 0.672
O1 O 0.250 0.750 0.000
# Crystal system ... tetragonal
# Excess energy over the best structure of this formula in the dataset ... 306 meV/atom
# E ... -4.6792 eV per atom

---

# LiCoPO PBE with a Hubbard U relaxed
data_LiCoPO
_chemical_formula_sum 'Li2 Co2 P2 O2'
_cell_length_a 3.873
_cell_length_b 3.552
_cell_length_c 6.620
_cell_angle_alpha 90.00
_cell_angle_beta 90.00
_cell_angle_gamma 90.00
_space_group_name_H-M_alt 'P m m a'
_space_group_IT_number 51
_space_group_name_Hall '-P 2a 2a'
loop_
_atom_site_label
_atom_site_type_symbol
_atom_site_fract_x
_atom_site_fract_y
_atom_site_fract_z
Li1 Li 0.250 0.000 0.175
Co1 Co 0.250 0.500 0.817
P1 P 0.250 0.000 0.594
O1 O 0.250 0.500 0.118
# Crystal system ... orthorhombic
# Excess energy over the best structure of this formula in the dataset ... 0 meV/atom
# E ... -4.9849 eV per atom